Entry 1:
A geometry-optimized AlHgSF2 structure, computed with GGA-PBE.

Cell: 4.1192 4.1192 5.2194 Å, 90.00 90.00 90.00°
With the nearest neighbours (Å) after each atom.
Fractional positions:
Al: 0.0000 0.0000 0.0000  2 S 2.61, 4 Hg 2.91
Hg: 0.5000 0.5000 0.0000  4 Al 2.91
S: 0.0000 0.0000 0.5000  4 F 2.06
F: 0.0000 0.5000 0.5000  2 S 2.06
F: 0.5000 0.0000 0.5000  2 S 2.06

Electronic total energy ... -0.106 hartree per atom
SG ... P4/mmm, No. 123
Density ... 5.6 g cm⁻³
Magnetic moment ... 0.0 μB/cell

Entry 2:
A geometry-optimized ScAlHg2F structure, computed with GGA-PBE.

Cell: 5.3493 5.3493 3.6637 Å, 90.00 90.00 90.00°
With the nearest neighbours (Å) after each atom.
Fractional positions:
Sc: 0.0000 0.0000 0.0000  8 Hg 3.24
Al: 0.5000 0.5000 0.0000  2 F 1.83
Hg: 0.0000 0.5000 0.5000  2 F 2.67
Hg: 0.5000 0.0000 0.5000  2 F 2.67
F: 0.5000 0.5000 0.5000  2 Al 1.83

Distance to the lowest polymorph of the same formula ... 18.8 kJ/mol of atoms
SG ... P4/mmm, No. 123
Density ... 7.8 g cm⁻³
Magnetic moment ... 0.0 μB/cell

Entry 3:
A geometry-optimized ScAlHg2F structure, computed with GGA-PBE.

Cell: 5.3344 5.3344 3.6317 Å, 90.00 90.00 90.00°
With the nearest neighbours (Å) after each atom.
Fractional positions:
Sc: 0.0000 0.0000 0.0000  8 Hg 3.23
Al: 0.5000 0.5000 0.5000  2 F 1.82
Hg: 0.0000 0.5000 0.5000  2 Al 2.67
Hg: 0.5000 0.0000 0.5000  2 Al 2.67
F: 0.5000 0.5000 0.0000  2 Al 1.82

Distance to the lowest polymorph of the same formula ... 0.0 kJ/mol of atoms
SG ... P4/mmm, No. 123
Density ... 7.9 g cm⁻³
Magnetic moment ... 0.0 μB/cell

Entry 4:
A geometry-optimized Sc2AlHgF structure, computed with GGA-PBE.

Cell: 5.4199 5.4199 4.6102 Å, 90.00 90.00 90.00°
With the nearest neighbours (Å) after each atom.
Fractional positions:
Sc: 0.0000 0.5000 0.0000  2 Hg 2.71
Sc: 0.5000 0.0000 0.0000  2 Hg 2.71
Al: 0.0000 0.0000 0.5000  8 Sc 3.56, 4 F 3.83
Hg: 0.5000 0.5000 0.0000  2 F 2.31
F: 0.5000 0.5000 0.5000  2 Hg 2.31

Electronic total energy ... -0.130 hartree per atom
SG ... P4/mmm, No. 123
Density ... 4.1 g cm⁻³
Magnetic moment ... 2.0 μB/cell

Entry 5:
A geometry-optimized AlHgSeF2 structure, computed with GGA-PBE.

Cell: 3.9383 3.9383 5.2870 Å, 90.00 90.00 90.00°
With the nearest neighbours (Å) after each atom.
Fractional positions:
Al: 0.0000 0.0000 0.0000  4 F 1.97
Hg: 0.5000 0.5000 0.5000  4 Se 2.78
Se: 0.0000 0.0000 0.5000  2 Al 2.64, 4 Hg 2.78
F: 0.0000 0.5000 0.0000  2 Al 1.97
F: 0.5000 0.0000 0.0000  2 Al 1.97

Electronic total energy ... -0.146 hartree per atom
SG ... P4/mmm, No. 123
Density ... 7.0 g cm⁻³
Magnetic moment ... 0.0 μB/cell

Entry 6:
A geometry-optimized SrAlHg2F8 structure, computed with GGA-PBE.

Cell: 5.2061 6.8353 5.5558 Å, 90.00 90.39 90.00°
With the nearest neighbours (Å) after each atom.
Fractional positions:
Sr: 0.0000 0.0000 0.0000  6 F 2.44-2.46
Al: 0.0000 0.5000 0.0000  6 F 1.81-1.85
Hg: 0.5000 0.2869 0.5000  6 F 2.40-2.53
Hg: 0.5000 0.7131 0.5000  6 F 2.40-2.53
F: 0.1441 0.3040 0.1878  1 Al 1.85
F: 0.1441 0.6960 0.1878  1 Al 1.85
F: 0.2791 0.5000 0.8076  1 Al 1.81
F: 0.3516 0.0000 0.7069  2 Hg 2.40, 1 Sr 2.46
F: 0.6484 0.0000 0.2931  2 Hg 2.40, 1 Sr 2.46
F: 0.7209 0.5000 0.1924  1 Al 1.81
F: 0.8559 0.3040 0.8122  1 Al 1.85
F: 0.8559 0.6960 0.8122  1 Al 1.85

Electronic total energy ... -0.161 hartree per atom
SG ... P2/m, No. 10
Density ... 5.6 g cm⁻³
Magnetic moment ... 0.0 μB/cell

Entry 7:
A geometry-optimized TiAl2HgF structure, computed with GGA-PBE.

Cell: 4.4406 4.4406 4.3369 Å, 90.00 90.00 90.00°
With the nearest neighbours (Å) after each atom.
Fractional positions:
Ti: 0.0000 0.0000 0.0000  2 F 2.17
Al: 0.0000 0.5000 0.5000  2 F 2.22
Al: 0.5000 0.0000 0.5000  2 F 2.22
Hg: 0.5000 0.5000 0.0000  8 Al 3.10, 4 Ti 3.14
F: 0.0000 0.0000 0.5000  2 Ti 2.17, 4 Al 2.22

Electronic total energy ... -0.140 hartree per atom
SG ... P4/mmm, No. 123
Density ... 6.2 g cm⁻³
Magnetic moment ... 1.0 μB/cell

Entry 8:
A geometry-optimized AlTl2HgF6 structure, computed with GGA-PBE.

Cell: 6.1014 8.8092 6.5399 Å, 90.00 90.00 90.00°
With the nearest neighbours (Å) after each atom.
Fractional positions:
Al: 0.2500 0.2500 0.2182  6 F 1.83-1.85
Al: 0.7500 0.7500 0.7817  6 F 1.83-1.85
Tl: 0.2500 0.5094 0.7728  9 F 2.88-3.09
Tl: 0.2500 0.9906 0.7728  9 F 2.88-3.09
Tl: 0.7500 0.0094 0.2272  9 F 2.88-3.09
Tl: 0.7500 0.4906 0.2272  9 F 2.88-3.09
Hg: 0.2500 0.7500 0.2899  6 F 2.61-2.66
Hg: 0.7500 0.2500 0.7101  6 F 2.61-2.66
F: 0.0344 0.2500 0.0187  1 Al 1.85
F: 0.0359 0.2500 0.4134  1 Al 1.83
F: 0.2500 0.0407 0.2075  1 Al 1.85
F: 0.2500 0.4593 0.2075  1 Al 1.85
F: 0.4641 0.2500 0.4134  1 Al 1.83
F: 0.4656 0.2500 0.0187  1 Al 1.85
F: 0.5344 0.7500 0.9813  1 Al 1.85
F: 0.5359 0.7500 0.5866  1 Al 1.83
F: 0.7500 0.5407 0.7925  1 Al 1.85
F: 0.7500 0.9593 0.7925  1 Al 1.85
F: 0.9641 0.7500 0.5866  1 Al 1.83
F: 0.9656 0.7500 0.9813  1 Al 1.85

Electronic total energy ... -0.158 hartree per atom
SG ... Pmmn, No. 59
Density ... 7.1 g cm⁻³
Magnetic moment ... 2.1 μB/cell

Entry 9:
A geometry-optimized AlTlHgF6 structure, computed with GGA-PBE.

Cell: 7.3544 7.3544 7.3544 Å, 120.43 117.49 91.83°
With the nearest neighbours (Å) after each atom.
Fractional positions:
Al: 0.5000 0.0000 0.0000  6 F 1.82-1.85
Al: 0.5000 0.5000 0.5000  6 F 1.82-1.85
Tl: 0.1539 0.4039 0.7500  9 F 2.95-3.09
Tl: 0.8461 0.5961 0.2500  9 F 2.95-3.09
Hg: 0.0000 0.0000 0.0000  6 F 2.24-2.44
Hg: 0.5000 0.0000 0.5000  6 F 2.24-2.44
F: 0.1346 0.8846 0.2500  2 Hg 2.24
F: 0.2068 0.3968 0.3542  1 Al 1.82
F: 0.2068 0.8526 0.8100  1 Al 1.82
F: 0.4574 0.1474 0.8542  1 Al 1.82
F: 0.4574 0.6032 0.3100  1 Al 1.82
F: 0.4726 0.2226 0.2500  2 Al 1.85
F: 0.5274 0.7774 0.7500  2 Al 1.85
F: 0.5426 0.3968 0.6900  1 Al 1.82
F: 0.5426 0.8526 0.1458  1 Al 1.82
F: 0.7932 0.1474 0.1900  1 Al 1.82
F: 0.7932 0.6032 0.6458  1 Al 1.82
F: 0.8654 0.1154 0.7500  2 Hg 2.24

Electronic total energy ... -0.163 hartree per atom
SG ... Imma, No. 74
Density ... 6.4 g cm⁻³
Magnetic moment ... 0.0 μB/cell

Entry 10:
A geometry-optimized AlTlHg2F8 structure, computed with GGA-PBE.

Cell: 4.9968 5.1911 7.5259 Å, 84.66 88.73 89.90°
With the nearest neighbours (Å) after each atom.
Fractional positions:
Al: 0.0000 0.0000 0.0000  6 F 1.81-1.90
Tl: 0.0000 0.0000 0.5000  6 F 2.62-2.80
Hg: 0.4526 0.4578 0.7591  2 F 2.14-2.18
Hg: 0.5474 0.5422 0.2409  2 F 2.14-2.18
F: 0.1423 0.7883 0.1828  1 Al 1.83
F: 0.1622 0.8176 0.8354  1 Al 1.81
F: 0.2959 0.2290 0.9959  1 Al 1.90
F: 0.4449 0.2659 0.4612  1 Hg 2.14
F: 0.5551 0.7341 0.5388  1 Hg 2.14
F: 0.7041 0.7710 0.0041  1 Al 1.90
F: 0.8378 0.1824 0.1646  1 Al 1.81
F: 0.8577 0.2117 0.8172  1 Al 1.83

Electronic total energy ... -0.146 hartree per atom
SG ... P-1, No. 2
Density ... 6.7 g cm⁻³
Magnetic moment ... 0.0 μB/cell

Question: The highest magnetic moment belongs to which entry?
Answer: AlTl2HgF6

Question: Look up the magnetic moment of the seventh one.
Answer: 1.0 μB/cell